A relaxed structure of CeCdF5. Source: the Alexandria database, functional PBE. Values from VASP.

```
&SYSTEM
  ibrav = 0, nat = 14, ntyp = 3
/
ATOMIC_SPECIES
F 19.00 F.upf
Cd 112.41 Cd.upf
Ce 140.12 Ce.upf
ATOMIC_POSITIONS angstrom
F 5.542 -7.873 -0.656
F 1.352 -4.383 0.091
F 3.296 -6.449 -1.323
F 1.157 -7.842 -0.414
F 2.589 -10.460 1.313
F -1.090 -6.418 -1.080
F 3.100 -9.908 -1.828
F 3.369 -7.446 1.907
F 1.084 -6.845 -3.644
F 1.863 -3.831 -3.050
Cd 0.000 0.000 0.000
Cd 1.684 -3.178 1.916
Ce 1.094 -5.658 -1.739
Ce 3.359 -8.633 0.002
CELL_PARAMETERS angstrom
-2.760 -5.117 -1.788
3.844 -2.818 -3.780
3.369 -6.356 3.832
```

A relaxed structure of CeCd2F8. Source: the Alexandria database, functional PBE. Values from VASP.

```
&SYSTEM
  ibrav = 0, nat = 11, ntyp = 3
/
ATOMIC_SPECIES
Cd 112.41 Cd.upf
F 19.00 F.upf
Ce 140.12 Ce.upf
ATOMIC_POSITIONS angstrom
Cd 0.000 3.021 2.751
Cd 1.994 0.315 4.150
F 1.994 -0.962 6.151
F 0.000 4.298 0.750
F 1.994 4.518 2.336
F 0.000 0.830 2.976
F 0.000 -1.182 4.565
F 0.000 1.575 5.707
F 1.994 1.761 1.193
F 1.994 2.506 3.925
Ce 1.994 0.000 0.000
CELL_PARAMETERS angstrom
3.988 0.000 0.000
0.000 5.452 0.191
-1.994 -2.117 6.710
```

A relaxed structure of Ce2CdF11. Source: the Alexandria database, functional PBE. Values from VASP.

```
&SYSTEM
  ibrav = 0, nat = 28, ntyp = 3
/
ATOMIC_SPECIES
F 19.00 F.upf
Ce 140.12 Ce.upf
Cd 112.41 Cd.upf
ATOMIC_POSITIONS angstrom
F -3.679 -3.878 13.075
F -7.516 -4.355 8.724
F -0.188 -2.064 9.181
F -7.574 -3.347 13.252
F -7.147 -1.429 8.078
F 0.000 0.000 0.000
F -0.558 -4.990 9.828
F -4.025 -2.541 4.831
F -5.289 -3.373 7.394
F -3.852 -3.209 8.953
F -5.740 -4.012 11.141
F -8.132 -2.270 10.757
F -4.443 -6.532 12.359
F -2.325 -5.271 7.398
F -0.131 -3.072 4.653
F -5.379 -1.148 10.508
F 0.427 -4.149 7.148
F -7.425 -5.562 15.045
F -2.415 -3.046 10.512
F -0.279 -0.857 2.861
F -1.964 -2.407 6.765
F -3.262 0.113 5.547
Ce -1.987 -2.607 12.742
Ce -6.271 -2.787 9.484
Ce -5.717 -3.811 5.163
Ce -1.434 -3.632 8.422
Cd -1.926 -1.605 4.476
Cd -5.778 -4.814 13.429
CELL_PARAMETERS angstrom
-3.179 2.120 7.775
-7.059 -4.107 3.060
2.533 -4.432 7.071
```

For each record above, in turn, the calculated spin magnetization values are 2.00 0.14 2.06 Bohr magnetons per cell.
For each record above, in turn, the calculated energy values are -5.50 -4.89 -5.45 eV/atom.